A plane-wave DFT calculation with PBE was carried out for crystalline Ac2ZnCd2 at its relaxed geometry.

```
10
Lattice="-1.8978 -2.7261 3.8234 6.5715 0.1559 0.0185 -3.9980 8.7158 4.2298" Properties=species:S:1:pos:R:3 pbc="T T T"
Cd 2.0028 0.8686 4.9680
Cd -1.3271 5.2771 3.1038
Cd 1.1267 4.8648 7.3824
Cd -0.4510 1.2809 0.6894
Ac -1.3588 1.7961 3.9608
Ac -0.0483 7.4877 5.3147
Ac 0.7240 -1.3420 2.7571
Ac 2.0345 4.3495 4.1110
Zn 2.0081 1.6773 2.1927
Zn -1.3324 4.4684 5.8791
```

Results
energy above the lowest structure with this stoichiometry = 0.021 eV/atom
space-group type = C2/m (12)
ρ = 8.34 g/cm³
ΔE_f = -0.2480 eV/atom

***

A plane-wave DFT calculation with PBE was carried out for crystalline Mg11Zn9Cu4 at its relaxed geometry.

```
24
Lattice="-2.6538 0.4178 2.2146 -5.0082 -9.3640 -4.2349 6.9974 -2.1288 8.7867" Properties=species:S:1:pos:R:3 pbc="T T T"
Cu -1.7872 -4.5524 1.4540
Cu 0.5389 -3.1506 3.9769
Cu -1.2036 -7.9244 2.7895
Cu 1.1225 -6.5226 5.3125
Zn 2.7406 -5.0703 6.9774
Zn -1.9368 -1.9441 0.7827
Zn 2.3065 -2.5625 5.9842
Zn -0.5073 -10.2033 4.0538
Zn -0.3323 -5.5375 3.3832
Zn -3.4053 -6.0048 -0.2110
Zn -0.1574 -0.8718 2.7126
Zn 1.2721 -9.1310 5.9838
Zn -2.9712 -8.5125 0.7823
Mg 0.0000 0.0000 0.0000
Mg -3.0400 -8.1779 -2.1001
Mg 2.5364 -1.5386 3.3297
Mg 5.0291 -3.3150 6.6519
Mg -1.5750 -4.0163 -1.1296
Mg -0.6455 -6.7348 0.4970
Mg 3.5641 -7.4766 5.6815
Mg -0.5472 -9.9543 1.2222
Mg 1.4091 -8.1417 3.2246
Mg 2.6347 -4.7580 4.0548
Mg 0.5800 -3.3511 1.3272
```

Results
space-group type = Cmmm (65)
ρ = 4.42 g/cm³
ΔE_f = -0.0866 eV/atom

***

A plane-wave DFT calculation with PBE was carried out for crystalline ZnGa6Ag12 at its relaxed geometry.

```
19
Lattice="-3.9748 -4.6721 4.1171 7.4015 -1.3163 1.2331 1.6733 1.1525 7.3422" Properties=species:S:1:pos:R:3 pbc="T T T"
Ag 0.4582 -1.5462 7.5090
Ag -0.1613 -1.4868 2.5595
Ag 2.7019 -3.9746 11.3953
Ag 1.9513 -3.7745 6.3975
Ag 0.7873 -0.1571 4.9599
Ag 5.2614 -3.3491 10.1329
Ag 3.1488 -1.0615 6.2949
Ag 0.2822 -3.0503 10.0836
Ag 2.3982 -0.8613 1.2971
Ag 4.6419 -3.2897 5.1834
Ag 4.8179 -1.7856 2.6087
Ag 4.3128 -4.6789 7.7325
Ga 2.8580 -2.5390 8.8027
Ga 5.7643 -0.6004 4.9709
Ga 5.4742 -1.9525 7.5753
Ga -0.6642 -4.2355 7.7215
Ga 2.2421 -2.2969 3.8896
Ga -0.3741 -2.8834 5.1171
Zn 0.0000 0.0000 0.0000
```

Results
energy above the lowest structure with this stoichiometry = 0.000 eV/atom
space-group type = R-3 (148)
ρ = 8.88 g/cm³
ΔE_f = 0.0006 eV/atom

***

A plane-wave DFT calculation with PBE was carried out for crystalline SrTb2Os at its relaxed geometry.

```
4
Lattice="3.4759 0.0000 0.0000 0.0000 3.4759 0.0000 0.0000 0.0000 10.0697" Properties=species:S:1:pos:R:3 pbc="T T T"
Tb 0.0000 0.0000 8.4321
Tb 0.0000 0.0000 1.6376
Os 1.7380 1.7380 0.0000
Sr 1.7380 1.7380 5.0349
```

Results
energy above the lowest structure with this stoichiometry = 0.000 eV/atom
space-group type = P4/mmm (123)
ρ = 8.13 g/cm³
ΔE_f = -0.0742 eV/atom